Entry 1:
# HgCl, optimized geometry, DFT PBE-GGA
data_HgCl
_cell_length_a 4.082
_cell_length_b 4.082
_cell_length_c 8.717
_cell_angle_alpha 90.00
_cell_angle_beta 90.00
_cell_angle_gamma 122.64
_symmetry_space_group_name_H-M 'P 1'
_symmetry_Int_Tables_number 1
loop_
_symmetry_equiv_pos_as_xyz
'x,y,z'
loop_
_atom_site_label
_atom_site_type_symbol
_atom_site_fract_x
_atom_site_fract_y
_atom_site_fract_z
_atom_site_occupancy
Hg1 Hg 0.000 0.000 0.498 1
Hg2 Hg 0.500 0.500 0.252 1
Cl1 Cl 0.000 0.000 0.054 1
Cl2 Cl 0.500 0.500 0.696 1
# mass density = 6.4 g cm⁻³
# raw formation energy = -0.302 eV/atom
# magnetic moment = 0.00 μB per cell
# E_tot = -5.5 eV per cell
# energy above the lowest structure with this stoichiometry = 0.2399 eV/atom

Entry 2:
# HgCl3, optimized geometry, DFT PBE-GGA
data_HgCl3
_cell_length_a 4.832
_cell_length_b 6.725
_cell_length_c 7.343
_cell_angle_alpha 90.00
_cell_angle_beta 90.00
_cell_angle_gamma 90.00
_symmetry_space_group_name_H-M 'P 1'
_symmetry_Int_Tables_number 1
loop_
_symmetry_equiv_pos_as_xyz
'x,y,z'
loop_
_atom_site_label
_atom_site_type_symbol
_atom_site_fract_x
_atom_site_fract_y
_atom_site_fract_z
_atom_site_occupancy
Hg1 Hg 0.000 0.000 0.231 1
Hg2 Hg 0.500 0.500 0.769 1
Cl1 Cl 0.000 0.500 0.650 1
Cl2 Cl 0.500 0.000 0.350 1
Cl3 Cl 0.253 0.000 0.864 1
Cl4 Cl 0.747 0.000 0.864 1
Cl5 Cl 0.753 0.500 0.136 1
Cl6 Cl 0.247 0.500 0.136 1
# mass density = 4.3 g cm⁻³
# raw formation energy = -0.135 eV/atom
# magnetic moment = 0.65 μB per cell
# E_tot = -12.8 eV per cell

Entry 3:
# Hg2Cl, optimized geometry, DFT PBE-GGA
data_Hg2Cl
_cell_length_a 5.169
_cell_length_b 5.169
_cell_length_c 5.169
_cell_angle_alpha 60.00
_cell_angle_beta 60.00
_cell_angle_gamma 60.00
_symmetry_space_group_name_H-M 'P 1'
_symmetry_Int_Tables_number 1
loop_
_symmetry_equiv_pos_as_xyz
'x,y,z'
loop_
_atom_site_label
_atom_site_type_symbol
_atom_site_fract_x
_atom_site_fract_y
_atom_site_fract_z
_atom_site_occupancy
Hg1 Hg 0.250 0.250 0.250 1
Hg2 Hg 0.750 0.750 0.750 1
Cl1 Cl 0.000 0.000 0.000 1
# mass density = 7.4 g cm⁻³
# raw formation energy = 0.040 eV/atom
# magnetic moment = 0.00 μB per cell
# E_tot = -2.3 eV per cell
# energy above the lowest structure with this stoichiometry = 0.3679 eV/atom

Entry 4:
# HgCl, optimized geometry, DFT PBE-GGA
data_HgCl
_cell_length_a 5.718
_cell_length_b 5.718
_cell_length_c 3.641
_cell_angle_alpha 90.00
_cell_angle_beta 90.00
_cell_angle_gamma 90.00
_symmetry_space_group_name_H-M 'P 1'
_symmetry_Int_Tables_number 1
loop_
_symmetry_equiv_pos_as_xyz
'x,y,z'
loop_
_atom_site_label
_atom_site_type_symbol
_atom_site_fract_x
_atom_site_fract_y
_atom_site_fract_z
_atom_site_occupancy
Hg1 Hg 0.250 0.750 0.000 1
Hg2 Hg 0.750 0.250 0.000 1
Cl1 Cl 0.250 0.250 0.997 1
Cl2 Cl 0.750 0.750 0.003 1
# mass density = 6.6 g cm⁻³
# raw formation energy = -0.197 eV/atom
# magnetic moment = 0.00 μB per cell
# E_tot = -5.1 eV per cell
# energy above the lowest structure with this stoichiometry = 0.3454 eV/atom

Entry 5:
# HgCl, optimized geometry, DFT PBE-GGA
data_HgCl
_cell_length_a 5.122
_cell_length_b 5.122
_cell_length_c 5.122
_cell_angle_alpha 60.00
_cell_angle_beta 60.00
_cell_angle_gamma 60.00
_symmetry_space_group_name_H-M 'P 1'
_symmetry_Int_Tables_number 1
loop_
_symmetry_equiv_pos_as_xyz
'x,y,z'
loop_
_atom_site_label
_atom_site_type_symbol
_atom_site_fract_x
_atom_site_fract_y
_atom_site_fract_z
_atom_site_occupancy
Hg1 Hg 0.500 0.500 0.500 1
Hg2 Hg 0.750 0.750 0.750 1
Cl1 Cl 0.000 0.000 0.000 1
Cl2 Cl 0.250 0.250 0.250 1
# mass density = 8.2 g cm⁻³
# raw formation energy = 0.001 eV/atom
# magnetic moment = 0.00 μB per cell
# E_tot = -4.3 eV per cell
# energy above the lowest structure with this stoichiometry = 0.5426 eV/atom

Entry 6:
# Hg3Cl, optimized geometry, DFT PBE-GGA
data_Hg3Cl
_cell_length_a 3.939
_cell_length_b 3.939
_cell_length_c 8.212
_cell_angle_alpha 90.00
_cell_angle_beta 90.00
_cell_angle_gamma 120.00
_symmetry_space_group_name_H-M 'P 1'
_symmetry_Int_Tables_number 1
loop_
_symmetry_equiv_pos_as_xyz
'x,y,z'
loop_
_atom_site_label
_atom_site_type_symbol
_atom_site_fract_x
_atom_site_fract_y
_atom_site_fract_z
_atom_site_occupancy
Hg1 Hg 0.000 0.000 0.500 1
Hg2 Hg 0.667 0.333 0.251 1
Hg3 Hg 0.667 0.333 0.749 1
Cl1 Cl 0.000 0.000 0.000 1
# mass density = 9.6 g cm⁻³
# raw formation energy = -0.173 eV/atom
# magnetic moment = 0.00 μB per cell
# E_tot = -3.4 eV per cell
# energy above the lowest structure with this stoichiometry = 0.0416 eV/atom